(1)
A geometry-optimized CuHgOs2 structure, computed with PBE-GGA.

a b c (Å): 4.6516 4.6516 5.0766
angles (deg): 82.19 82.19 35.21
With the nearest neighbours (Å) after each atom.
Fractional coordinates of all 4 atoms:
Os1 0.7489 0.7489 0.7773  5 Os 2.54-2.81, 3 Cu 2.81
Os2 0.0057 0.0057 0.9449  5 Os 2.54-2.81, 2 Cu 2.67
Hg1 0.2496 0.2496 0.2774  3 Cu 2.60-2.76, 2 Hg 2.81, 4 Os 2.90
Cu1 0.4958 0.4958 0.5004  3 Hg 2.60-2.76, 5 Os 2.67-2.81, 2 Cu 2.81

Symmetry: Cm, No. 8
Magnetic moment in μB per atom: 0.000
DFT total energy in Ry per atom: -0.4482
Energy of formation from the pure elements in eV per formula unit: 2.463


(2)
A geometry-optimized Ac2Cu5Au12 structure, computed with PBE-GGA.

a b c (Å): 7.2038 7.2038 7.2038
angles (deg): 81.97 81.97 81.97
With the nearest neighbours (Å) after each atom.
Fractional coordinates of all 19 atoms:
Au1 0.2985 0.0000 0.7015  2 Cu 2.76, 6 Au 2.82-2.91
Au2 0.8676 0.3361 0.3361  3 Cu 2.65-2.83, 6 Au 2.89-2.92
Au3 0.6639 0.1324 0.6639  3 Cu 2.65-2.83, 6 Au 2.89-2.92
Au4 0.3361 0.3361 0.8676  3 Cu 2.65-2.83, 6 Au 2.89-2.92
Au5 0.0000 0.7015 0.2985  2 Cu 2.76, 6 Au 2.82-2.91
Au6 0.3361 0.8676 0.3361  3 Cu 2.65-2.83, 6 Au 2.89-2.92
Au7 0.7015 0.0000 0.2985  2 Cu 2.76, 6 Au 2.82-2.91
Au8 0.2985 0.7015 0.0000  2 Cu 2.76, 6 Au 2.82-2.91
Au9 0.7015 0.2985 0.0000  2 Cu 2.76, 6 Au 2.82-2.91
Au10 0.0000 0.2985 0.7015  2 Cu 2.76, 6 Au 2.82-2.91
Au11 0.1324 0.6639 0.6639  3 Cu 2.65-2.83, 6 Au 2.89-2.92
Au12 0.6639 0.6639 0.1324  3 Cu 2.65-2.83, 6 Au 2.89-2.92
Ac1 0.3419 0.3419 0.3419  12 Au 3.33-3.55, 4 Cu 3.51-3.68
Ac2 0.6581 0.6581 0.6581  12 Au 3.33-3.55, 4 Cu 3.51-3.68
Cu1 0.0000 0.0000 0.5000  8 Au 2.65-2.76, 2 Cu 2.92
Cu2 0.0000 0.5000 0.0000  8 Au 2.65-2.76, 2 Cu 2.92
Cu3 0.0933 0.0933 0.0933  4 Cu 2.63-2.92, 3 Au 2.83
Cu4 0.5000 0.0000 0.0000  8 Au 2.65-2.76, 2 Cu 2.92
Cu5 0.9067 0.9067 0.9067  4 Cu 2.63-2.92, 3 Au 2.83

Symmetry: R-3m, No. 166
Magnetic moment in μB per atom: 0.000
DFT total energy in Ry per atom: -0.2857
Energy of formation from the pure elements in eV per formula unit: -5.823


(3)
A geometry-optimized YTa4S8 structure, computed with PBE-GGA.

a b c (Å): 6.8095 6.8094 7.7043
angles (deg): 90.00 116.23 120.00
With the nearest neighbours (Å) after each atom.
Fractional coordinates of all 13 atoms:
S1 0.4807 0.2403 0.2346  3 Ta 2.46-2.53, 1 Y 2.68
S2 0.5193 0.7597 0.7654  3 Ta 2.46-2.53, 1 Y 2.68
S3 0.0057 0.7597 0.7654  3 Ta 2.46-2.53, 1 Y 2.68
S4 0.4864 0.7432 0.2296  3 Ta 2.49
S5 0.5136 0.2568 0.7704  3 Ta 2.49
S6 0.9943 0.7540 0.2346  3 Ta 2.46-2.53, 1 Y 2.68
S7 0.0057 0.2460 0.7654  3 Ta 2.46-2.53, 1 Y 2.68
S8 0.9943 0.2403 0.2346  3 Ta 2.46-2.53, 1 Y 2.68
Ta1 0.5000 0.0000 0.0000  6 S 2.49-2.53
Ta2 0.0000 0.5000 0.0000  6 S 2.49-2.53
Ta3 0.5000 0.5000 0.0000  6 S 2.49-2.53
Ta4 0.0000 0.0000 0.0000  6 S 2.46
Y1 0.0000 0.5000 0.5000  6 S 2.68

Symmetry: R-3m, No. 166
Magnetic moment in μB per atom: 0.000
DFT total energy in Ry per atom: -0.5767
Formation energy (no corrections) in meV/atom: -1162